Record 1
This record from Alexandria via LeMat-Bulk describes a crystal of NaHSeO3 relaxed with PBEsol. The functional is meta-GGA SCAN.

Lattice parameters (Å, degrees): 21.396 5.817 10.238 90.00 104.51 90.00
Space group C2/c (No. 15)
One atom of each set of equivalent atoms:
1 Na 0.124 0.245 0.332 [8 per cell]
2 Na 0.196 0.210 0.716 [8 per cell]
3 H 0.001 0.176 0.102 [8 per cell]
4 H 0.246 0.486 0.023 [8 per cell]
5 Se 0.035 0.264 0.622 [8 per cell]
6 Se 0.156 0.269 0.035 [8 per cell]
7 O 0.037 0.281 0.446 [8 per cell]
8 O 0.059 0.015 0.155 [8 per cell]
9 O 0.101 0.419 0.692 [8 per cell]
10 O 0.185 0.078 0.938 [8 per cell]
11 O 0.197 0.470 0.508 [8 per cell]
12 O 0.198 0.197 0.192 [8 per cell]

Calculated values
- electronic total energy (eV/atom) = -9.036



Record 2
This record from Alexandria via LeMat-Bulk describes a crystal of NaHSeO4 relaxed with PBEsol. The functional is meta-GGA SCAN.

Lattice parameters (Å, degrees): 5.076 5.688 6.563 89.24 73.40 83.09
Space group P1 (No. 1)
One atom of each set of equivalent atoms:
1 Na 0.000 0.000 0.000 [1 per cell]
2 Na 0.066 0.498 0.692 [1 per cell]
3 H 0.504 0.724 0.336 [1 per cell]
4 H 0.998 0.253 0.365 [1 per cell]
5 Se 0.401 0.457 0.102 [1 per cell]
6 Se 0.664 0.029 0.576 [1 per cell]
7 O 0.232 0.225 0.186 [1 per cell]
8 O 0.262 0.630 0.949 [1 per cell]
9 O 0.342 0.129 0.695 [1 per cell]
10 O 0.351 0.611 0.341 [1 per cell]
11 O 0.707 0.885 0.346 [1 per cell]
12 O 0.732 0.374 0.999 [1 per cell]
13 O 0.817 0.873 0.731 [1 per cell]
14 O 0.824 0.283 0.503 [1 per cell]

Calculated values
- electronic total energy (eV/atom) = -8.692



Record 3
This record from Alexandria via LeMat-Bulk describes a crystal of Na3H5Se4O16 relaxed with PBEsol. The functional is meta-GGA SCAN.

Lattice parameters (Å, degrees): 5.901 7.301 9.012 105.25 92.49 105.93
Space group P-1 (No. 2)
One atom of each set of equivalent atoms:
1 Na 0.000 0.000 0.000 [1 per cell]
2 Na 0.194 0.370 0.418 [2 per cell]
3 H 0.140 0.378 0.875 [2 per cell]
4 H 0.406 0.120 0.623 [2 per cell]
5 H 0.500 0.000 0.000 [1 per cell]
6 Se 0.207 0.855 0.344 [2 per cell]
7 Se 0.332 0.673 0.823 [2 per cell]
8 O 0.030 0.828 0.187 [2 per cell]
9 O 0.109 0.761 0.801 [2 per cell]
10 O 0.111 0.673 0.421 [2 per cell]
11 O 0.255 0.078 0.468 [2 per cell]
12 O 0.261 0.515 0.936 [2 per cell]
13 O 0.425 0.565 0.665 [2 per cell]
14 O 0.437 0.142 0.065 [2 per cell]
15 O 0.475 0.846 0.278 [2 per cell]

Calculated values
- electronic total energy (eV/atom) = -8.567



- Which formula does entry 2 have?
  NaHSeO4